# Mn2IF3

An optimized crystal structure of Mn2IF3 (GGA+U, Alexandria).

## Properties
The total DFT energy (no corrections) is -137.1 eV/cell.

Lattice parameters (Å, degrees): 16.391 3.569 8.732 90.00 90.32 90.00
Space group C2/m (No. 12)
Inequivalent atoms, fractional coordinates:
Mn 0.058 0.000 0.343 [4 per cell]
Mn 0.188 0.500 0.116 [4 per cell]
I 0.104 0.500 0.599 [4 per cell]
F 0.064 0.500 0.197 [4 per cell]
F 0.182 0.000 0.262 [4 per cell]
F 0.189 0.000 0.962 [4 per cell]